Material: InNi2Sn2
Method: DFT, PBE-GGA
State: optimized geometry

Cell and atoms, written as CIF:
```
data_InNi2Sn2
_chemical_formula_sum 'In2 Ni4 Sn4'
_cell_length_a 4.4640
_cell_length_b 4.5391
_cell_length_c 9.2434
_cell_angle_alpha 90.00
_cell_angle_beta 90.02
_cell_angle_gamma 90.00
_space_group_name_H-M_alt 'P 1 21/m 1'
_space_group_IT_number 11
loop_
_space_group_symop_operation_xyz
'x,y,z'
'-x,-y,-z'
'-x,y+1/2,-z'
'x,-y+1/2,z'
loop_
_atom_site_label
_atom_site_fract_x
_atom_site_fract_y
_atom_site_fract_z
In1 0.2489 0.2500 0.1723
Ni1 0.2498 0.7500 0.3349
Ni2 0.2520 0.7500 0.0067
Sn1 0.2501 0.2500 0.4976
Sn2 0.2496 0.2500 0.8335
```

Uncorrected energy: -4.586 eV/atom